Entry 1:
Below is TaSb2TeP after structural relaxation, with properties calculated at the GGA-PBE level.

Summary:
crystal system	tetragonal
VASP energy	-4.92	eV/atom
ΔE_f (raw)	0.8100	eV per atom

Cell and atoms, written as extended XYZ:
```
5
Lattice="-1.9959 -2.3444 -4.4310 3.7346 -3.8768 0.3690 -3.2636 -2.8599 2.9832" Properties=species:S:1:pos:R:3 pbc="T T T"
Sb 1.8673 -1.9384 0.1845
Sb -0.9979 -1.1722 -2.2155
Te -1.6318 -1.4300 1.4916
P -0.7625 -4.5406 -0.5394
Ta 0.0000 0.0000 0.0000
```

***

Entry 2:
Below is TaSb2TeP after structural relaxation, with properties calculated at the GGA-PBE level.

Summary:
crystal system	tetragonal
VASP energy	-4.63	eV/atom
ΔE_f (raw)	1.1007	eV per atom

Cell and atoms, written as extended XYZ:
```
5
Lattice="4.9872 0.0000 0.0000 0.0000 4.9872 0.0000 0.0000 0.0000 5.1385" Properties=species:S:1:pos:R:3 pbc="T T T"
Sb 0.0000 2.4936 0.0000
Sb 2.4936 0.0000 0.0000
Te 0.0000 0.0000 2.5693
P 0.0000 0.0000 0.0000
Ta 2.4936 2.4936 2.5693
```

***

Entry 3:
Below is ZrTaSb2P after structural relaxation, with properties calculated at the GGA-PBE level.

Summary:
crystal system	tetragonal
VASP energy	-6.26	eV/atom
ΔE_f (raw)	0.5517	eV per atom

Cell and atoms, written as extended XYZ:
```
5
Lattice="5.1753 0.0000 0.0000 0.0000 4.5233 0.0000 0.0000 0.0000 5.1753" Properties=species:S:1:pos:R:3 pbc="T T T"
Sb 0.0000 0.0000 2.5877
Sb 2.5877 0.0000 0.0000
P 0.0000 0.0000 0.0000
Zr 2.5877 2.2616 2.5877
Ta 0.0000 2.2616 0.0000
```

***

Entry 4:
Below is ZrTaSb2P after structural relaxation, with properties calculated at the GGA-PBE level.

Summary:
crystal system	tetragonal
VASP energy	-5.45	eV/atom
ΔE_f (raw)	1.3645	eV per atom

Cell and atoms, written as extended XYZ:
```
5
Lattice="-4.1444 2.9511 1.7997 -0.0299 -2.6622 4.2965 3.4564 3.5122 2.2003" Properties=species:S:1:pos:R:3 pbc="T T T"
Sb 1.7282 1.7561 1.1002
Sb -2.0722 1.4755 0.8998
P -0.3590 1.9006 4.1482
Zr 0.0000 0.0000 0.0000
Ta -0.0150 -1.3311 2.1483
```

***

Entry 5:
Below is Tb3Sb2P after structural relaxation, with properties calculated at the GGA-PBE level.

Summary:
crystal system	monoclinic
VASP energy	-5.84	eV/atom
ΔE_f (raw)	-1.2530	eV per atom

Cell and atoms, written as extended XYZ:
```
12
Lattice="-4.0815 2.7629 -5.4640 -4.1684 -5.8693 1.8074 0.1742 5.8919 4.5107" Properties=species:S:1:pos:R:3 pbc="T T T"
Tb -0.7783 0.9120 1.9275
Tb -3.4821 0.4979 -1.2172
Tb -2.0842 -2.9346 0.9037
Tb -7.2974 1.8736 -1.0733
Tb -1.9536 4.3274 -0.4766
Tb -4.5937 2.2876 2.0714
Sb -4.8313 -4.2103 0.6640
Sb -1.9045 3.7163 2.4859
Sb -3.2444 6.9958 0.1902
Sb -6.1712 -0.9308 -1.6317
P -3.3875 -0.3002 1.5627
P -4.6882 3.0857 -0.7086
```

***

Entry 6:
Below is Tb7SbP5 after structural relaxation, with properties calculated at the GGA-PBE level.

Summary:
crystal system	orthorhombic
VASP energy	-6.35	eV/atom
ΔE_f (raw)	-1.4576	eV per atom

Cell and atoms, written as extended XYZ:
```
26
Lattice="4.0698 0.0000 0.0000 -2.0349 6.6488 0.0092 0.0000 -0.0250 23.9117" Properties=species:S:1:pos:R:3 pbc="T T T"
Tb 0.0000 6.2631 5.9880
Tb 2.0349 0.3695 17.9326
Tb 2.0349 1.8115 0.8259
Tb 0.0000 4.8207 23.0965
Tb 0.0000 4.8289 12.7843
Tb 2.0349 1.8003 11.1355
Tb 0.0000 2.3174 4.1136
Tb 2.0349 4.3148 19.8080
Tb 2.0349 4.3152 16.0708
Tb 0.0000 2.3161 7.8489
Tb 2.0349 5.4354 2.4950
Tb 0.0000 1.1963 21.4283
Tb 0.0000 1.2000 14.4418
Tb 2.0349 5.4299 9.4773
Sb 2.0349 3.9564 5.9817
Sb 0.0000 2.6767 17.9387
P 0.0000 0.0040 0.0011
P 2.0349 3.0142 22.1841
P 0.0000 3.6180 1.7379
P 2.0349 0.5619 8.5550
P 0.0000 6.0692 15.3652
P 0.0000 -0.0099 11.9552
P 0.0000 3.6097 10.2281
P 2.0349 3.0200 13.6918
P 0.0000 6.0677 20.5176
P 2.0349 0.5648 3.4038
```

***

Entry 7:
Below is Tb5Sb4P after structural relaxation, with properties calculated at the GGA-PBE level.

Summary:
crystal system	tetragonal
VASP energy	-5.71	eV/atom
ΔE_f (raw)	-1.2057	eV per atom

Cell and atoms, written as extended XYZ:
```
10
Lattice="6.1419 0.0000 0.0000 3.0709 6.8396 0.0000 3.0709 0.0000 6.8396" Properties=species:S:1:pos:R:3 pbc="T T T"
Tb 9.2193 2.5992 5.5678
Tb 6.1483 5.5678 4.2403
Tb 6.1483 1.2718 2.5992
Tb 3.0773 4.2403 1.2718
Tb 3.0753 0.0000 0.0000
Sb 6.1485 2.7155 5.4144
Sb 9.2195 5.4144 4.1241
Sb 3.0776 1.4252 2.7155
Sb 6.1485 4.1241 1.4252
P 0.0067 0.0000 0.0000
```

***

Entry 8:
Below is Tb2SbP after structural relaxation, with properties calculated at the GGA-PBE level.

Summary:
crystal system	trigonal
VASP energy	-6.05	eV/atom
ΔE_f (raw)	-1.3479	eV per atom

Cell and atoms, written as extended XYZ:
```
4
Lattice="4.1743 -0.0011 -0.0041 -2.0869 3.6151 0.0041 -2.0825 -1.2070 6.9981" Properties=species:S:1:pos:R:3 pbc="T T T"
Tb 0.0033 -0.0019 5.4239
Tb 0.0016 2.4089 1.5742
Sb -2.0846 1.2040 3.5011
P 4.1742 -0.0011 -0.0041
```

***

Entry 9:
Below is Tb5Sb4P after structural relaxation, with properties calculated at the GGA-PBE level.

Summary:
crystal system	tetragonal
VASP energy	-5.71	eV/atom
ΔE_f (raw)	-1.1999	eV per atom

Cell and atoms, written as extended XYZ:
```
10
Lattice="-2.4392 3.2295 1.5663 -1.9647 0.3835 -3.8504 -8.3815 -11.9300 5.5339" Properties=species:S:1:pos:R:3 pbc="T T T"
Tb -1.9580 -1.8729 0.8125
Tb -2.2019 1.8065 -1.1421
Tb -10.8273 -6.4441 2.4372
Tb -6.3376 -6.0623 2.6299
Tb -6.4477 -2.2548 0.6198
Sb -8.4820 -8.1134 3.5198
Sb -8.6116 -4.3246 1.5177
Sb -4.1738 -3.9924 1.7320
Sb -4.3034 -0.2036 -0.2700
P 0.0000 0.0000 0.0000
```

***

Entry 10:
Below is Tb2SbP after structural relaxation, with properties calculated at the GGA-PBE level.

Summary:
crystal system	trigonal
VASP energy	-5.95	eV/atom
ΔE_f (raw)	-1.2493	eV per atom

Cell and atoms, written as extended XYZ:
```
4
Lattice="4.1390 0.0000 0.0000 2.0695 3.5845 0.0000 2.0695 1.1948 7.2115" Properties=species:S:1:pos:R:3 pbc="T T T"
Tb 2.0695 1.1948 5.6314
Tb 2.0695 1.1948 1.5939
Sb 4.1390 2.3897 3.6256
P 6.2086 3.5845 7.1778
```

***

Entry 11:
Below is Tb6SbP4 after structural relaxation, with properties calculated at the GGA-PBE level.

Summary:
crystal system	orthorhombic
VASP energy	-6.29	eV/atom
ΔE_f (raw)	-1.4253	eV per atom

Cell and atoms, written as extended XYZ:
```
22
Lattice="-4.0241 0.6696 -0.0867 0.9192 -6.8745 0.2647 -0.3165 0.7447 20.4399" Properties=species:S:1:pos:R:3 pbc="T T T"
Tb -2.0121 0.3348 -0.0433
Tb -2.1703 0.7071 10.1766
Tb -0.1931 -0.2540 6.9991
Tb -3.2284 -5.2062 13.6188
Tb -3.2863 -5.0698 17.3626
Tb -0.1351 -0.3904 3.2553
Tb -2.7399 -2.9152 8.6384
Tb -0.6816 -2.5451 11.9795
Tb -0.7884 -2.2936 18.8819
Tb -2.6330 -3.1667 1.7360
Tb -0.8110 -4.1933 5.2582
Tb -2.6104 -1.2670 15.3597
Sb -2.4444 -1.5930 5.1382
Sb -0.9770 -3.8673 15.4797
P -2.9770 -4.0098 11.1918
P -0.9283 -5.2265 2.7253
P -0.4444 -1.4504 9.4261
P -2.4931 -0.2338 17.8926
P -3.1088 -3.6998 19.7028
P -0.3126 -1.7605 0.9151
P -2.4137 -0.4207 12.7632
P -1.0077 -5.0396 7.8547
```

***

Entry 12:
Below is Tb3SbP2 after structural relaxation, with properties calculated at the GGA-PBE level.

Summary:
crystal system	orthorhombic
VASP energy	-5.82	eV/atom
ΔE_f (raw)	-1.0180	eV per atom

Cell and atoms, written as extended XYZ:
```
12
Lattice="-1.4881 4.7227 0.0039 -1.7712 -3.1493 -5.5964 -8.4327 -2.6606 4.1660" Properties=species:S:1:pos:R:3 pbc="T T T"
Tb -1.7968 2.0307 -1.1938
Tb -6.8070 -2.1466 2.0514
Tb -5.1701 0.9663 0.4728
Tb -4.8850 1.0595 -3.4779
Tb -9.8952 -3.1177 -0.2327
Tb -6.5219 -2.0534 -1.8993
Sb -3.2389 -1.0193 -1.4735
Sb -8.4531 -0.0678 0.0470
P 0.0000 0.0000 0.0000
P -4.2163 -1.3303 2.0830
P -4.4714 -1.4054 -4.2148
P -7.2206 0.3183 2.7884
```